! HoTm4Sn | Alexandria via LeMat-Bulk | PBE | relaxed; values from VASP
! - Raw total energy: -3.87 eV/atom
&SYSTEM
  ibrav = 0, nat = 12, ntyp = 3
/
ATOMIC_SPECIES
Ho 164.93 Ho.upf
Tm 168.93 Tm.upf
Sn 118.71 Sn.upf
CELL_PARAMETERS angstrom
8.259 1.016 0.000
-2.406 7.966 0.000
-2.927 -4.491 6.365
ATOMIC_POSITIONS crystal
Ho 0.750 0.750 0.000
Ho 0.500 0.000 0.500
Tm 0.237 0.917 0.679
Tm 0.761 0.437 0.676
Tm 0.667 0.487 0.179
Tm 0.187 0.011 0.176
Tm 0.308 0.487 0.821
Tm 0.835 0.011 0.824
Tm 0.761 0.085 0.324
Tm 0.237 0.558 0.321
Sn 0.253 0.253 0.000
Sn 0.003 0.503 0.500